[1]
Here is crystalline PrHS at its relaxed geometry from Alexandria. Energies are from PBE-GGA.

Calculated values
VASP energy: -31.933 eV for the cell shown
Symmetry: Cmcm (63)

abc: 4.1403 5.7815 5.5951
angles: 90.00 111.71 90.00
Closest atoms and distances in Å follow each position.
Fractional positions:
1 Pr 0.1421 0.2500 0.2838  2 H 2.22
2 Pr 0.8579 0.7500 0.7162  2 H 2.22
3 H 0.5662 0.2500 0.1320  2 Pr 2.22
4 H 0.4338 0.7500 0.8680  2 Pr 2.22
5 S 0.8499 0.2500 0.6996  5 Pr 2.89-3.04, 3 H 2.95-3.06
6 S 0.1501 0.7500 0.3004  5 Pr 2.89-3.04, 3 H 2.95-3.06

[2]
Here is crystalline K2Te2As at its relaxed geometry from Alexandria. Energies are from PBE-GGA.

Calculated values
Raw formation energy: -0.611 eV/atom
Polymorph energy (0 for the lowest one): 82.5 meV/atom
N(E_F): 2.81 states/eV/cell
Symmetry: Cmc2_1 (36)

abc: 5.1644 7.2233 10.4260
angles: 90.00 104.34 90.00
Closest atoms and distances in Å follow each position.
Fractional positions:
1 K 0.9851 0.7046 0.9702  6 Te 3.57-3.85, 2 K 3.66, 2 As 3.73
2 K 0.7902 0.4752 0.5804  6 Te 3.58-3.85, 1 As 3.75
3 K 0.2098 0.9752 0.4196  6 Te 3.58-3.85, 1 As 3.75
4 K 0.0149 0.2046 0.0298  6 Te 3.57-3.85, 2 K 3.66, 2 As 3.73
5 Te 0.4109 0.4123 0.8218  1 As 2.62
6 Te 0.8404 0.9892 0.6808  2 As 2.83
7 Te 0.1596 0.4892 0.3192  2 As 2.83
8 Te 0.5891 0.9123 0.1782  1 As 2.62
9 As 0.3931 0.0530 0.7862  3 Te 2.62-2.83
10 As 0.6069 0.5530 0.2138  3 Te 2.62-2.83

[3]
Here is crystalline ScTa2Au at its relaxed geometry from Alexandria. Energies are from PBE-GGA.

Calculated values
Polymorph energy (0 for the lowest one): 83.7 meV/atom
N(E_F): 5.27 states/eV/cell
ΔH_f (0 K): -0.040 eV/atom
Symmetry: P4/mmm (123)

abc: 4.6756 3.9944 3.9944
angles: 90.00 90.00 90.00
Closest atoms and distances in Å follow each position.
Fractional positions:
1 Au 0.5000 0.5000 0.0000  4 Sc 2.82, 8 Ta 3.07
2 Sc 0.5000 0.0000 0.5000  4 Au 2.82, 8 Ta 3.07
3 Ta 0.0000 0.0000 0.0000  4 Ta 2.82, 4 Sc 3.07, 4 Au 3.07
4 Ta 0.0000 0.5000 0.5000  4 Ta 2.82, 4 Sc 3.07, 4 Au 3.07